Entry 1:
# La2SiPb, optimized geometry, DFT PBE-GGA
data_La2SiPb
_symmetry_space_group_name_H-M 'C m m 2'
_symmetry_Int_Tables_number 35
_cell_length_a 4.844
_cell_length_b 5.654
_cell_length_c 8.898
_cell_angle_alpha 90.00
_cell_angle_beta 90.00
_cell_angle_gamma 90.00
loop_
_symmetry_equiv_pos_as_xyz
'x,y,z'
'-x,-y,z'
'-x,y,z'
'x,-y,z'
'x+1/2,y+1/2,z'
'-x+1/2,-y+1/2,z'
'-x+1/2,y+1/2,z'
'x+1/2,-y+1/2,z'
loop_
_atom_site_label
_atom_site_fract_x
_atom_site_fract_y
_atom_site_fract_z
_atom_site_occupancy
La1 0.000 0.000 0.000 1
La2 0.000 0.500 0.360 1
Si1 0.000 0.500 0.794 1
Pb1 0.000 0.000 0.619 1
# Total energy in eV for the cell shown: -38.71
# Raw formation energy in meV/atom: -92.3
# M_tot in μB per cell: 0.00


Entry 2:
# MgTaGe2O8, optimized geometry, DFT PBE-GGA
data_MgTaGe2O8
_symmetry_space_group_name_H-M 'I -4 m 2'
_symmetry_Int_Tables_number 119
_symmetry_space_group_name_Hall 'I -4 -2'
_cell_length_a 6.601
_cell_length_b 6.601
_cell_length_c 6.306
_cell_angle_alpha 90.00
_cell_angle_beta 90.00
_cell_angle_gamma 90.00
loop_
_atom_site_label
_atom_site_fract_x
_atom_site_fract_y
_atom_site_fract_z
_atom_site_occupancy
Mg1 0.000 0.000 0.000 1
Ta1 0.000 0.500 0.750 1
Ge1 0.000 0.000 0.500 1
Ge2 0.000 0.500 0.250 1
O1 0.000 0.202 0.680 1
O2 0.000 0.312 0.048 1
# Total energy in eV for the cell shown: -171.20
# Raw formation energy in meV/atom: -1937.9
# M_tot in μB per cell: 2.08


Entry 3:
# Y3Ho7In, optimized geometry, DFT PBE-GGA
data_Y3Ho7In
_symmetry_space_group_name_H-M 'P 3 m 1'
_symmetry_Int_Tables_number 156
_cell_length_a 6.9359
_cell_length_b 6.9359
_cell_length_c 8.4930
_cell_angle_alpha 90.00
_cell_angle_beta 90.00
_cell_angle_gamma 120.00
loop_
_symmetry_equiv_pos_as_xyz
'x,y,z'
'-y,x-y,z'
'-x+y,-x,z'
'-y,-x,z'
'-x+y,y,z'
'x,x-y,z'
loop_
_atom_site_label
_atom_site_fract_x
_atom_site_fract_y
_atom_site_fract_z
_atom_site_occupancy
Y1 0.1671 0.3341 0.0000 1
Ho1 0.0060 0.5030 0.3372 1
Ho2 0.3302 0.1651 0.6582 1
Ho3 0.3333 0.6667 0.6696 1
In1 0.0000 0.0000 0.3322 1
# Total energy in eV for the cell shown: -52.85
# M_tot in μB per cell: 0.01
# DFT formation energy in eV/atom: 0.121


Entry 4:
# Pa4TcGe, optimized geometry, DFT PBE-GGA
data_Pa4TcGe
_symmetry_space_group_name_H-M 'P 4/m c c'
_symmetry_Int_Tables_number 124
_symmetry_space_group_name_Hall '-P 4 2c'
_cell_length_a 6.855
_cell_length_b 6.855
_cell_length_c 5.805
_cell_angle_alpha 90.00
_cell_angle_beta 90.00
_cell_angle_gamma 90.00
loop_
_atom_site_label
_atom_site_fract_x
_atom_site_fract_y
_atom_site_fract_z
_atom_site_occupancy
Pa1 0.138 0.344 0.000 1
Tc1 0.000 0.000 0.250 1
Ge1 0.500 0.500 0.250 1
# Total energy in eV for the cell shown: -109.17
# M_tot in μB per cell: 0.00
# DFT formation energy in eV/atom: -0.270


Entry 5:
# Th4Os2CSe, optimized geometry, DFT PBE-GGA
data_Th4Os2CSe
_symmetry_space_group_name_H-M 'I 2 2 2'
_symmetry_Int_Tables_number 23
_cell_length_a 7.150
_cell_length_b 7.401
_cell_length_c 7.421
_cell_angle_alpha 90.00
_cell_angle_beta 90.00
_cell_angle_gamma 90.00
loop_
_symmetry_equiv_pos_as_xyz
'x,y,z'
'-x,-y,z'
'x,-y,-z'
'-x,y,-z'
'x+1/2,y+1/2,z+1/2'
'-x+1/2,-y+1/2,z+1/2'
'x+1/2,-y+1/2,-z+1/2'
'-x+1/2,y+1/2,-z+1/2'
loop_
_atom_site_label
_atom_site_fract_x
_atom_site_fract_y
_atom_site_fract_z
_atom_site_occupancy
Th1 0.228 0.130 0.295 1
Os1 0.000 0.182 0.000 1
C1 0.000 0.000 0.500 1
Se1 0.000 0.500 0.500 1
# Total energy in eV for the cell shown: -136.18
# Raw formation energy in meV/atom: -405.5
# M_tot in μB per cell: 0.00


Entry 6:
# CsNaSi2, optimized geometry, DFT PBE-GGA
data_CsNaSi2
_symmetry_space_group_name_H-M 'I 41/a m d'
_symmetry_Int_Tables_number 141
_cell_length_a 4.977
_cell_length_b 4.977
_cell_length_c 21.366
_cell_angle_alpha 90.00
_cell_angle_beta 90.00
_cell_angle_gamma 90.00
loop_
_symmetry_equiv_pos_as_xyz
'x,y,z'
'-x,-y,-z'
'-y+1/4,x+3/4,z+1/4'
'y+1/4,-x+3/4,-z+1/4'
'-x+1/2,-y,z+1/2'
'x+1/2,y,-z+1/2'
'y+1/4,-x+1/4,z+3/4'
'-y+1/4,x+1/4,-z+3/4'
'x,-y,-z'
'-x,y,z'
'-y+1/4,-x+1/4,-z+3/4'
'y+1/4,x+1/4,z+3/4'
'-x+1/2,y,-z+1/2'
'x+1/2,-y,z+1/2'
'y+1/4,x+3/4,-z+1/4'
'-y+1/4,-x+3/4,z+1/4'
'x+1/2,y+1/2,z+1/2'
'-x+1/2,-y+1/2,-z+1/2'
'-y+3/4,x+1/4,z+3/4'
'y+3/4,-x+1/4,-z+3/4'
'-x,-y+1/2,z'
'x,y+1/2,-z'
'y+3/4,-x+3/4,z+1/4'
'-y+3/4,x+3/4,-z+1/4'
'x+1/2,-y+1/2,-z+1/2'
'-x+1/2,y+1/2,z+1/2'
'-y+3/4,-x+3/4,-z+1/4'
'y+3/4,x+3/4,z+1/4'
'-x,y+1/2,-z'
'x,-y+1/2,z'
'y+3/4,x+1/4,-z+3/4'
'-y+3/4,-x+1/4,z+3/4'
loop_
_atom_site_label
_atom_site_fract_x
_atom_site_fract_y
_atom_site_fract_z
_atom_site_occupancy
Cs1 0.000 0.250 0.375 1
Na1 0.000 0.250 0.875 1
Si1 0.000 0.000 0.000 1
# Total energy in eV for the cell shown: -45.89
# Raw formation energy in meV/atom: 386.7
# M_tot in μB per cell: 0.00


Entry 7:
# NdTmBr2, optimized geometry, DFT PBE-GGA
data_NdTmBr2
_symmetry_space_group_name_H-M 'R -3 m'
_symmetry_Int_Tables_number 166
_symmetry_space_group_name_Hall '-R 3 2"'
_cell_length_a 3.7205
_cell_length_b 3.7205
_cell_length_c 30.1327
_cell_angle_alpha 90.00
_cell_angle_beta 90.00
_cell_angle_gamma 120.00
loop_
_atom_site_label
_atom_site_fract_x
_atom_site_fract_y
_atom_site_fract_z
_atom_site_occupancy
Nd1 0.0000 0.0000 0.0000 1
Tm1 0.0000 0.0000 0.5000 1
Br1 0.0000 0.0000 0.4063 1
# Total energy in eV for the cell shown: -50.28
# Raw formation energy in meV/atom: -1044.0
# M_tot in μB per cell: 0.00


Entry 8:
# Th6Ir5Pt, optimized geometry, DFT PBE-GGA
data_Th6Ir5Pt
_symmetry_space_group_name_H-M 'C 1 2/m 1'
_symmetry_Int_Tables_number 12
_cell_length_a 7.172
_cell_length_b 12.422
_cell_length_c 7.167
_cell_angle_alpha 90.00
_cell_angle_beta 109.40
_cell_angle_gamma 90.00
loop_
_symmetry_equiv_pos_as_xyz
'x,y,z'
'-x,-y,-z'
'-x,y,-z'
'x,-y,z'
'x+1/2,y+1/2,z'
'-x+1/2,-y+1/2,-z'
'-x+1/2,y+1/2,-z'
'x+1/2,-y+1/2,z'
loop_
_atom_site_label
_atom_site_fract_x
_atom_site_fract_y
_atom_site_fract_z
_atom_site_occupancy
Th1 0.243 0.000 0.251 1
Th2 0.245 0.170 0.746 1
Ir1 0.000 0.000 0.500 1
Ir2 0.000 0.167 0.000 1
Ir3 0.000 0.336 0.500 1
Pt1 0.000 0.500 0.000 1
# Total energy in eV for the cell shown: -214.30
# M_tot in μB per cell: 0.00
# DFT formation energy in eV/atom: -1.024